First-principles (PBE) data for Sr2ReBr after structural relaxation, as listed in Alexandria.

abc: 5.471 5.471 5.471
angles: 60.00 60.00 60.00
Element x y z (fractional)
1 Sr 0.250 0.250 0.250
2 Sr 0.750 0.750 0.750
3 Re 0.000 0.000 0.000
4 Br 0.500 0.500 0.500

Volume ... 28.954 Å³/atom
N(E_F) ... 7.6 states/eV per cell
Symmetry ... Fm-3m, No. 225
Uncorrected formation energy ... 0.437 eV/atom